(1)
VASP calculation (GGA-PBE) on a relaxed structure of Pm4Sm3Dy8.

It has space group C2/m (No. 12), with a = 13.471 Å, b = 12.847 Å, c = 6.794 Å, α = 90.00°, β = 120.23° and γ = 90.00°. The distinct sites, in fractional coordinates, are Pm at (0.000, 0.000, 0.000), Pm at (0.000, 0.000, 0.500), Pm at (0.250, 0.250, 0.000), Sm at (0.000, 0.500, 0.000), Sm at (0.250, 0.250, 0.500), Dy at (0.000, 0.256, 0.000), Dy at (0.000, 0.360, 0.500), Dy at (0.232, 0.500, 0.969) and Dy at (0.233, 0.500, 0.492).

The distance to the lowest polymorph of the same formula comes out at 0.235 eV per atom. For the calculated formation energy, the calculation gives 0.36 eV per atom.

---

(2)
VASP calculation (GGA-PBE) on a relaxed structure of BaZr2Pt2.

It has space group P4/mbm (No. 127), with a = 8.307 Å, b = 8.307 Å, c = 3.214 Å, α = 90.00°, β = 90.00° and γ = 90.00°. The distinct sites, in fractional coordinates, are Ba at (0.000, 0.000, 0.000), Zr at (0.144, 0.356, 0.000) and Pt at (0.142, 0.642, 0.500).

The distance to the lowest polymorph of the same formula comes out at 0.231 eV per atom. For the calculated formation energy, the calculation gives -0.52 eV per atom.

---

(3)
VASP calculation (GGA-PBE) on a relaxed structure of SrSi3Au.

It has space group Pm-3m (No. 221), with a = 5.514 Å, b = 5.514 Å, c = 5.514 Å, α = 90.00°, β = 90.00° and γ = 90.00°. The distinct sites, in fractional coordinates, are Sr at (0.000, 0.000, 0.000), Si at (0.000, 0.000, 0.500) and Au at (0.500, 0.500, 0.500).

The calculation puts the raw formation energy at 1870 meV per atom.

---

(4)
VASP calculation (GGA-PBE) on a relaxed structure of AcCuTeSe.

It has space group R-3m (No. 166, hexagonal axes), with a = 4.7742 Å, b = 4.7742 Å, c = 35.9772 Å, α = 90.00°, β = 90.00° and γ = 120.00°. The distinct sites, in fractional coordinates, are Ac at (0.0000, 0.0000, 0.1051), Cu at (0.0000, 0.0000, 0.2999), Te at (0.0000, 0.0000, 0.3765) and Se at (0.0000, 0.0000, 0.1971).

The calculation puts the raw formation energy at -1086 meV per atom.

---

(5)
VASP calculation (GGA-PBE) on a relaxed structure of SrFe2Ag.

It has space group R-3m (No. 166, hexagonal axes), with a = 3.0604 Å, b = 3.0604 Å, c = 28.6506 Å, α = 90.00°, β = 90.00° and γ = 120.00°. The distinct sites, in fractional coordinates, are Sr at (0.0000, 0.0000, 0.0000), Fe at (0.0000, 0.0000, 0.2415) and Ag at (0.0000, 0.0000, 0.5000).

For the calculated formation energy, the calculation gives 0.97 eV per atom.

---

(6)
VASP calculation (GGA-PBE) on a relaxed structure of KLaBe2Se.

It has space group P4/mmm (No. 123), with a = 4.696 Å, b = 4.696 Å, c = 5.576 Å, α = 90.00°, β = 90.00° and γ = 90.00°. The distinct sites, in fractional coordinates, are K at (0.000, 0.000, 0.000), La at (0.500, 0.500, 0.000), Be at (0.000, 0.500, 0.500) and Se at (0.000, 0.000, 0.500).

The calculation puts the raw formation energy at 692 meV per atom.